Entry 1:
! GGA-PBE NbHIrRu2, optimized geometry; values from VASP
&SYSTEM
  ibrav = 0, nat = 5, ntyp = 4
/
ATOMIC_SPECIES
Nb 92.91 Nb.upf
H 1.01 H.upf
Ir 192.22 Ir.upf
Ru 101.07 Ru.upf
ATOMIC_POSITIONS angstrom
Nb 0.000 0.000 0.000
H 0.000 0.000 2.018
Ir 1.957 1.957 0.000
Ru 0.000 1.957 2.018
Ru 1.957 0.000 2.018
CELL_PARAMETERS angstrom
3.913 0.000 0.000
0.000 3.913 0.000
0.000 0.000 4.037
! ρ   13.1 Mg/m³
! Space-group type   P4/mmm (123)
! Spin magnetization   0.0 Bohr magnetons per cell
! ΔE to the lowest computed polymorph   0.06 eV per formula unit
! E   -8.431 eV/atom

=====

Entry 2:
! GGA-PBE AcNbTlO5, optimized geometry; values from VASP
&SYSTEM
  ibrav = 0, nat = 16, ntyp = 4
/
ATOMIC_SPECIES
Ac 227.00 Ac.upf
Nb 92.91 Nb.upf
Tl 204.38 Tl.upf
O 16.00 O.upf
ATOMIC_POSITIONS angstrom
Ac 0.000 0.000 0.000
Ac -1.727 0.000 4.125
Nb 1.384 1.766 6.188
Nb 3.111 -1.766 2.063
Tl 3.111 1.749 2.063
Tl 1.384 -1.749 6.188
O 0.139 2.900 7.025
O 3.111 3.960 2.063
O 0.561 0.642 4.922
O 2.629 2.900 5.352
O 2.288 -0.642 0.797
O 2.207 0.642 7.454
O 1.866 -2.900 2.899
O 3.934 -0.642 3.329
O 1.384 -3.960 6.188
O 4.356 -2.900 1.226
CELL_PARAMETERS angstrom
3.974 -5.059 0.000
3.974 5.059 0.000
-3.454 0.000 8.251
! Uncorrected formation energy   -2.26 eV per atom
! ρ   6.0 Mg/m³
! Space-group type   C2/c (15)
! Spin magnetization   2.0 Bohr magnetons per cell
! E   -7.430 eV/atom

=====

Entry 3:
! GGA-PBE TeOs2Br, optimized geometry; values from VASP
&SYSTEM
  ibrav = 0, nat = 4, ntyp = 3
/
ATOMIC_SPECIES
Te 127.60 Te.upf
Os 190.23 Os.upf
Br 79.90 Br.upf
ATOMIC_POSITIONS angstrom
Te 0.000 0.000 0.000
Os 1.491 2.306 0.000
Os 1.491 -2.306 0.000
Br 2.982 0.000 0.000
CELL_PARAMETERS angstrom
2.982 -4.612 0.000
2.982 4.612 0.000
-1.554 0.000 2.630
! Uncorrected formation energy   1.40 eV per atom
! ρ   13.5 Mg/m³
! Space-group type   C2/m (12)
! Spin magnetization   0.0 Bohr magnetons per cell
! ΔE to the lowest computed polymorph   4.34 eV per formula unit
! E   -5.414 eV/atom

=====

Entry 4:
! GGA-PBE ZrInCu, optimized geometry; values from VASP
&SYSTEM
  ibrav = 0, nat = 3, ntyp = 3
/
ATOMIC_SPECIES
Zr 91.22 Zr.upf
In 114.82 In.upf
Cu 63.55 Cu.upf
ATOMIC_POSITIONS angstrom
Zr 0.000 0.000 0.000
In 0.000 0.000 7.992
Cu 0.000 0.000 3.978
CELL_PARAMETERS angstrom
-1.574 1.574 5.729
1.574 -1.574 5.729
1.574 1.574 -5.729
! ρ   7.9 Mg/m³
! Space-group type   I4mm (107)
! Spin magnetization   0.0 Bohr magnetons per cell
! E   -5.288 eV/atom